1.
Material: LiGePd2
Method: DFT, PBE
State: optimized geometry

Its crystal system is tetragonal. As for the theoretical density: 8.33 g cm⁻³. For the total energy, the calculation gives -4.6851 eV/atom.

The space group is P4/mmm (No. 123) and the conventional cell measures 3.1869, 3.1869 and 5.7384 Å, with angles of 90.00, 90.00 and 90.00 degrees. The inequivalent atoms are Li at (0.0000, 0.0000, 0.0000), Ge at (0.0000, 0.0000, 0.5000) and Pd at (0.5000, 0.5000, 0.2525).


2.
Material: PmSbN2O
Method: DFT, PBE
State: optimized geometry

Its crystal system is hexagonal. As for the theoretical density: 6.78 g cm⁻³. For the total energy, the calculation gives -6.8608 eV/atom.

The space group is P6_3cm (No. 185) and the conventional cell measures 6.5891, 6.5891 and 12.1482 Å, with angles of 90.00, 90.00 and 120.00 degrees. The inequivalent atoms are Pm at (0.0000, 0.0000, 0.0000), Pm at (0.3333, 0.6667, 0.4701), Sb at (0.0000, 0.3337, 0.2327), N at (0.0000, 0.3130, 0.3916), N at (0.0000, 0.3536, 0.0744), O at (0.0000, 0.0000, 0.2113) and O at (0.3333, 0.6667, 0.2505).


3.
Material: AlTl2Au
Method: DFT, PBE
State: optimized geometry

Its crystal system is cubic. As for the theoretical density: 11.09 g cm⁻³. For the total energy, the calculation gives -2.7448 eV/atom.

The space group is F-43m (No. 216) and the conventional cell measures 7.2358, 7.2358 and 7.2358 Å, with angles of 90.00, 90.00 and 90.00 degrees. The inequivalent atoms are Al at (0.0000, 0.0000, 0.0000), Tl at (0.0000, 0.0000, 0.5000), Tl at (0.2500, 0.2500, 0.7500) and Au at (0.2500, 0.2500, 0.2500).


4.
Material: GeAsPtO
Method: DFT, PBE
State: optimized geometry

As for the relative energy among the computed polymorphs: 0.204 eV/atom. Its crystal system is monoclinic. As for the theoretical density: 7.62 g cm⁻³. For the total energy, the calculation gives -5.4092 eV/atom.

The space group is Pc (No. 7) and the conventional cell measures 4.5221, 7.0180 and 4.9253 Å, with angles of 90.00, 90.00 and 90.00 degrees. The inequivalent atoms are Ge at (0.0000, 0.1625, 0.0000), As at (0.5000, 0.3368, 0.8967), Pt at (0.4954, 0.3193, 0.3990) and O at (0.0015, 0.0777, 0.3545).